{"formula": "Co2Rh", "functional": "GGA-PBEsol", "state": "optimized geometry", "cell": [[2.570, 0.000, 0.000], [0.000, 4.371, -0.010], [0.000, -0.073, 6.183]], "species": ["Co", "Co", "Co", "Co", "Rh", "Rh"], "fractional_positions": [[0.250, 0.265, 0.006], [0.750, 0.419, 0.330], [0.250, 0.581, 0.670], [0.750, 0.735, 0.994], [0.250, 0.913, 0.325], [0.750, 0.087, 0.675]], "m_tot_mub_per_fu": 3.72, "space_group": "P2_1/m, No. 11", "formation_enthalpy_0k_ev_per_atom": 0.078, "volume_a3_per_cell": 69}



{"formula": "Co2Rh", "functional": "GGA-PBEsol", "state": "optimized geometry", "cell": [[2.570, 0.000, 0.000], [0.000, 2.570, 0.000], [0.000, 0.000, 10.393]], "species": ["Rh", "Rh", "Co", "Co", "Co", "Co"], "fractional_positions": [[0.500, 0.500, 0.170], [0.500, 0.500, 0.830], [0.000, 0.000, 0.346], [0.500, 0.500, 0.500], [0.000, 0.000, 0.654], [0.000, 0.000, 0.000]], "m_tot_mub_per_fu": 3.11, "space_group": "P4/mmm, No. 123", "formation_enthalpy_0k_ev_per_atom": 0.078, "volume_a3_per_cell": 69}